## 1
HfVBr2 | Alexandria via LeMat-Bulk | PBE | relaxed; symmetry = Fm-3m (225); calculated density = 8.67 g/cm3
1.0
0.000 3.340 3.340
3.340 0.000 3.340
3.340 3.340 0.000
Hf V Br
1 1 2
direct
0.000 0.000 0.000
0.500 0.500 0.500
0.250 0.250 0.250
0.750 0.750 0.750

---

## 2
HfVBr2 | Alexandria via LeMat-Bulk | PBE | relaxed; symmetry = R-3m (166); calculated density = 7.23 g/cm3
1.0
1.672 0.966 9.229
-1.672 0.966 9.229
0.000 -1.931 9.229
Hf V Br
1 1 2
direct
0.000 0.000 0.000
0.500 0.500 0.500
0.405 0.405 0.405
0.595 0.595 0.595

---

Verdict on stability: 2 comes out on top.

---

## 1
HfW3Br | Alexandria via LeMat-Bulk | PBE | relaxed; symmetry = Pm-3m (221); calculated density = 13.72 g/cm3
1.0
4.610 0.000 0.000
0.000 4.610 0.000
0.000 0.000 4.610
Hf W Br
1 3 1
direct
0.000 0.000 0.000
0.000 0.500 0.500
0.500 0.000 0.500
0.500 0.500 0.000
0.500 0.500 0.500

---

## 2
HfW3Br | Alexandria via LeMat-Bulk | PBE | relaxed; symmetry = Pm-3m (221); calculated density = 11.37 g/cm3
1.0
4.909 0.000 0.000
0.000 4.909 0.000
0.000 0.000 4.909
Hf W Br
1 3 1
direct
0.000 0.000 0.000
0.000 0.000 0.500
0.000 0.500 0.000
0.500 0.000 0.000
0.500 0.500 0.500

---

Verdict on stability: 1 comes out on top.

---

## 1
HfW2Br | Alexandria via LeMat-Bulk | PBE | relaxed; symmetry = Fm-3m (225); calculated density = 14.43 g/cm3
1.0
0.000 3.303 3.303
3.303 0.000 3.303
3.303 3.303 0.000
Hf W Br
1 2 1
direct
0.000 0.000 0.000
0.250 0.250 0.250
0.750 0.750 0.750
0.500 0.500 0.500

---

## 2
HfW2Br | Alexandria via LeMat-Bulk | PBE | relaxed; symmetry = I-42d (122); calculated density = 13.51 g/cm3
1.0
-1.896 1.896 10.701
1.896 -1.896 10.701
1.896 1.896 -10.701
Hf W Br
2 4 2
direct
0.000 0.000 0.000
0.750 0.250 0.500
0.111 0.625 0.986
0.375 0.361 0.486
0.639 0.125 0.014
0.875 0.889 0.514
0.250 0.750 0.500
0.500 0.500 0.000

---

Verdict on stability: 2 comes out on top.

---

## 1
Hf2WBr | Alexandria via LeMat-Bulk | PBE | relaxed; symmetry = Fm-3m (225); calculated density = 12.99 g/cm3
1.0
0.000 3.411 3.411
3.411 0.000 3.411
3.411 3.411 0.000
Hf W Br
2 1 1
direct
0.250 0.250 0.250
0.750 0.750 0.750
0.000 0.000 0.000
0.500 0.500 0.500

---

## 2
Hf2WBr | Alexandria via LeMat-Bulk | PBE | relaxed; symmetry = I-42d (122); calculated density = 9.44 g/cm3
1.0
-2.699 2.699 7.494
2.699 -2.699 7.494
2.699 2.699 -7.494
Hf W Br
4 2 2
direct
0.078 0.625 0.953
0.375 0.328 0.453
0.672 0.125 0.047
0.875 0.922 0.547
0.000 0.000 0.000
0.750 0.250 0.500
0.250 0.750 0.500
0.500 0.500 0.000

---

Verdict on stability: 1 comes out on top.

---

## 1
HfWBr2 | Alexandria via LeMat-Bulk | PBE | relaxed; symmetry = R-3m (166); calculated density = 10.83 g/cm3
1.0
1.585 0.915 9.197
-1.585 0.915 9.197
0.000 -1.831 9.197
Hf W Br
1 1 2
direct
0.000 0.000 0.000
0.500 0.500 0.500
0.408 0.408 0.408
0.592 0.592 0.592

---

## 2
HfWBr2 | Alexandria via LeMat-Bulk | PBE | relaxed; symmetry = I-42d (122); calculated density = 10.30 g/cm3
1.0
-2.194 2.194 8.742
2.194 -2.194 8.742
2.194 2.194 -8.742
Hf W Br
2 2 4
direct
0.000 0.000 0.000
0.750 0.250 0.500
0.250 0.750 0.500
0.500 0.500 0.000
0.134 0.625 0.009
0.375 0.384 0.509
0.616 0.125 0.991
0.875 0.866 0.491

---

## 3
HfWBr2 | Alexandria via LeMat-Bulk | PBE | relaxed; symmetry = Fm-3m (225); calculated density = 11.52 g/cm3
1.0
0.000 3.351 3.351
3.351 0.000 3.351
3.351 3.351 0.000
Hf W Br
1 1 2
direct
0.000 0.000 0.000
0.500 0.500 0.500
0.250 0.250 0.250
0.750 0.750 0.750

---

Verdict on stability: 1 comes out on top.

---

## 1
YHf3Br | Alexandria via LeMat-Bulk | PBE | relaxed; symmetry = Pm-3m (221); calculated density = 7.78 g/cm3
1.0
5.316 0.000 0.000
0.000 5.316 0.000
0.000 0.000 5.316
Y Hf Br
1 3 1
direct
0.000 0.000 0.000
0.000 0.000 0.500
0.000 0.500 0.000
0.500 0.000 0.000
0.500 0.500 0.500

---

## 2
YHf3Br | Alexandria via LeMat-Bulk | PBE | relaxed; symmetry = Pm-3m (221); calculated density = 9.27 g/cm3
1.0
5.016 0.000 0.000
0.000 5.016 0.000
0.000 0.000 5.016
Y Hf Br
1 3 1
direct
0.000 0.000 0.000
0.000 0.500 0.500
0.500 0.000 0.500
0.500 0.500 0.000
0.500 0.500 0.500

---

Verdict on stability: 2 comes out on top.